TlFe2Ir: relaxed, PBEsol.

It has space group Cm (No. 8), with a = 8.952 Å, b = 2.905 Å, c = 4.640 Å, α = 90.00°, β = 105.59° and γ = 90.00°. The inequivalent atoms are Tl at (0.000, 0.000, 0.000), Fe at (0.015, 0.500, 0.513), Fe at (0.236, 0.000, 0.738) and Ir at (0.270, 0.500, 0.300).

The energy above the lowest structure with this stoichiometry comes out at 0 meV/atom. The value obtained for the raw total energy is -7.2097 eV/atom.